Record 1
Compound: BaCr2As3
Source: Alexandria via LeMat-Bulk
Functional: PBE-GGA
Structure: relaxed

```
BaCr2As3
1.0
4.1379 -5.9719 0.0000
4.1379 5.9719 0.0000
0.0000 0.0000 5.8283
Ba Cr As
2 4 6
Cartesian
4.1379 3.5344 4.3712
4.1379 -3.5344 1.4571
2.7167 0.0000 0.0000
2.7167 0.0000 2.9142
5.5591 0.0000 0.0000
5.5591 0.0000 2.9142
1.3641 1.2665 4.3712
1.3641 -1.2665 1.4571
4.1379 1.3543 1.4571
4.1379 -1.3543 4.3712
6.9117 1.2665 4.3712
6.9117 -1.2665 1.4571
```

Calculated values
- formation energy from the elements (eV/atom) = -0.410
- calculated total energy (eV/cell) = -75.2

Record 2
Compound: WBrCl3
Source: Alexandria via LeMat-Bulk
Functional: PBE-GGA
Structure: relaxed

```
WBrCl3
1.0
4.7769 0.0000 0.0000
0.0000 4.7769 0.0000
0.0000 0.0000 4.7769
W Br Cl
1 1 3
Cartesian
0.0000 0.0000 0.0000
2.3884 2.3884 2.3884
0.0000 0.0000 2.3884
0.0000 2.3884 0.0000
2.3884 0.0000 0.0000
```

Calculated values
- calculated total energy (eV/cell) = -20.4
- energy relative to the elements, uncorrected (eV per formula unit) = -0.3
- E above lowest polymorph (eV/f.u.) = 3.464